Density functional theory data (GGA+U) for a relaxed structure of La2WO6.

Unit cell a=5.585 b=8.935 c=16.737 alpha=90.00 beta=90.00 gamma=90.00
Sites, in units of the cell vectors:
La 0.321 0.793 0.000
La 0.821 0.207 0.500
La 0.413 0.495 0.160
La 0.413 0.495 0.840
La 0.913 0.505 0.340
La 0.913 0.505 0.660
La 0.942 0.156 0.181
La 0.942 0.156 0.819
La 0.442 0.844 0.319
La 0.442 0.844 0.681
La 0.913 0.457 0.000
La 0.413 0.543 0.500
W 0.429 0.252 0.000
W 0.929 0.748 0.500
W 0.393 0.233 0.332
W 0.393 0.233 0.668
W 0.893 0.767 0.168
W 0.893 0.767 0.832
O 0.181 0.286 0.081
O 0.181 0.286 0.919
O 0.681 0.714 0.419
O 0.681 0.714 0.581
O 0.668 0.286 0.084
O 0.668 0.286 0.916
O 0.168 0.714 0.416
O 0.168 0.714 0.584
O 0.644 0.295 0.258
O 0.644 0.295 0.742
O 0.144 0.705 0.242
O 0.144 0.705 0.758
O 0.624 0.729 0.099
O 0.624 0.729 0.901
O 0.124 0.271 0.401
O 0.124 0.271 0.599
O 0.182 0.365 0.256
O 0.182 0.365 0.744
O 0.682 0.635 0.244
O 0.682 0.635 0.756
O 0.552 0.082 0.391
O 0.552 0.082 0.609
O 0.052 0.918 0.109
O 0.052 0.918 0.891
O 0.446 0.049 0.000
O 0.946 0.951 0.500
O 0.445 0.489 0.000
O 0.945 0.511 0.500
O 0.261 0.072 0.270
O 0.261 0.072 0.730
O 0.761 0.928 0.230
O 0.761 0.928 0.770
O 0.572 0.378 0.404
O 0.572 0.378 0.596
O 0.072 0.622 0.096
O 0.072 0.622 0.904

## Properties
Raw total energy (eV/atom): -8.173
Symmetry: No. 31